[1]
# Ca2NbInAu

Ca2NbInAu after structural relaxation (PBEsol, Alexandria).

Lattice parameters (Å, degrees): 5.2153 5.6884 5.6884 90.00 90.00 90.00
Closest atoms and distances in Å follow each position.
Element x y z (fractional)
1 Ca 0.0000 0.5000 0.0000  2 In 2.84
2 Ca 0.0000 0.0000 0.5000  2 In 2.84
3 Au 0.5000 0.5000 0.5000  8 Ca 3.86, 4 Nb 4.02
4 Nb 0.5000 0.0000 0.0000  2 In 2.61
5 In 0.0000 0.0000 0.0000  2 Nb 2.61, 4 Ca 2.84

Output
- ΔE_f: 0.849 eV/atom
- Space group: No. 123
- Total energy: -0.130 hartree per atom



[2]
# Sm3Si2S8I

Sm3Si2S8I after structural relaxation (PBEsol, Alexandria).

Lattice parameters (Å, degrees): 7.6753 8.6682 10.6397 97.26 90.00 116.28
Closest atoms and distances in Å follow each position.
Element x y z (fractional)
1 S 0.5929 0.8689 0.4586  1 Si 2.11
2 S 0.3944 0.2899 0.1487  1 Si 2.11
3 S 0.8954 0.2899 0.6487  1 Si 2.11
4 S 0.2860 0.4304 0.4141  1 Si 2.13
5 S 0.2509 0.7033 0.6670  1 Si 2.11
6 S 0.7140 0.5696 0.5859  1 Si 2.13
7 S 0.1444 0.4304 0.9141  1 Si 2.13
8 S 0.1046 0.7101 0.3513  1 Si 2.11
9 S 0.6056 0.7101 0.8513  1 Si 2.11
10 S 0.4523 0.7033 0.1670  1 Si 2.11
11 S 0.4071 0.1311 0.5414  1 Si 2.11
12 S 0.5477 0.2967 0.8330  1 Si 2.11
13 S 0.8556 0.5696 0.0859  1 Si 2.13
14 S 0.2760 0.8689 0.9586  1 Si 2.11
15 S 0.7240 0.1311 0.0414  1 Si 2.11
16 S 0.7491 0.2967 0.3330  1 Si 2.11
17 Sm 0.3983 0.0000 0.2500  6 S 2.82-3.15
18 Sm 0.6775 0.6006 0.3184  8 S 2.85-2.99
19 Sm 0.9231 0.6006 0.8184  8 S 2.85-2.99
20 Sm 0.3225 0.3994 0.6816  8 S 2.85-2.99
21 Sm 0.6017 0.0000 0.7500  6 S 2.82-3.15
22 Sm 0.0769 0.3994 0.1816  8 S 2.85-2.99
23 I 0.0152 0.0000 0.7500  3 Sm 3.17-3.39, 2 S 3.32
24 I 0.9848 0.0000 0.2500  3 Sm 3.17-3.39, 2 S 3.32
25 Si 0.3031 0.6811 0.4720  4 S 2.11-2.13
26 Si 0.3780 0.6811 0.9720  4 S 2.11-2.13
27 Si 0.6220 0.3189 0.0280  4 S 2.11-2.13
28 Si 0.6969 0.3189 0.5280  4 S 2.11-2.13

Output
- Space group: No. 15
- Total energy: -0.221 hartree per atom



[3]
# Cu2PSe

Cu2PSe after structural relaxation (PBEsol, Alexandria).

Lattice parameters (Å, degrees): 3.3565 4.6644 4.6644 63.34 68.91 68.91
Closest atoms and distances in Å follow each position.
Element x y z (fractional)
1 Cu 0.2336 0.7664 0.7664  2 P 2.37, 2 Se 2.55
2 Cu 0.7664 0.2336 0.2336  2 P 2.37, 2 Se 2.55
3 Se 0.0000 0.5000 0.5000  4 Cu 2.55
4 P 0.5000 0.0000 0.0000  4 Cu 2.37

Output
- Space group: No. 71
- Total energy: -0.156 hartree per atom



[4]
# ScSiNO2

ScSiNO2 after structural relaxation (PBEsol, Alexandria).

Lattice parameters (Å, degrees): 3.4670 3.4670 3.6888 90.00 90.00 90.00
Closest atoms and distances in Å follow each position.
Element x y z (fractional)
1 O 0.5000 0.0000 0.0000  2 Si 1.73
2 O 0.0000 0.5000 0.0000  2 Si 1.73
3 Si 0.0000 0.0000 0.0000  4 O 1.73, 2 N 1.84
4 Sc 0.5000 0.5000 0.5000  4 N 2.45, 8 O 2.53
5 N 0.0000 0.0000 0.5000  2 Si 1.84

Output
- Space group: No. 123
- Total energy: -0.311 hartree per atom



[5]
# Mg2AgHg2

Mg2AgHg2 after structural relaxation (PBEsol, Alexandria).

Lattice parameters (Å, degrees): 3.9428 3.9428 7.8467 104.55 104.55 90.00
Closest atoms and distances in Å follow each position.
Element x y z (fractional)
1 Hg 0.2500 0.7500 0.5000  4 Hg 2.79, 4 Mg 2.99
2 Hg 0.7500 0.2500 0.5000  4 Hg 2.79, 4 Mg 2.99
3 Mg 0.5965 0.5965 0.1929  1 Mg 2.83, 4 Hg 2.99, 4 Ag 3.13
4 Mg 0.4035 0.4035 0.8071  1 Mg 2.83, 4 Hg 2.99, 4 Ag 3.13
5 Ag 0.0000 0.0000 0.0000  8 Mg 3.13

Output
- ΔE_f: 0.057 eV/atom
- Space group: No. 139
- Total energy: -0.056 hartree per atom
- Energy above the lowest structure with this stoichiometry: 223 meV per atom



[6]
# K2PbAu

K2PbAu after structural relaxation (PBEsol, Alexandria).

Lattice parameters (Å, degrees): 5.0195 5.0189 6.7589 111.78 90.00 120.00
Closest atoms and distances in Å follow each position.
Element x y z (fractional)
1 Au 0.7932 0.5864 0.3795  3 Pb 2.90
2 K 0.0174 0.0347 0.0522  3 Pb 3.51, 3 Au 3.52, 4 K 3.64-3.91
3 K 0.2306 0.4612 0.6920  3 Au 3.47, 3 Pb 3.48, 3 K 3.64
4 Pb 0.4588 0.9177 0.3763  3 Au 2.90

Output
- ΔE_f: -0.159 eV/atom
- Space group: No. 160
- Total energy: -0.099 hartree per atom



Density? In order: 4.77 4.71 6.65 4.46 8.12 6.01 g cm⁻³.